No. 1
# K8Rb3Cd | the Alexandria database | PBE | relaxed
data_K8Rb3Cd
_cell_length_a 14.5499
_cell_length_b 14.5499
_cell_length_c 9.3405
_cell_angle_alpha 90.00
_cell_angle_beta 90.00
_cell_angle_gamma 120.00
_symmetry_space_group_name_H-M 'P 63 m c'
_symmetry_Int_Tables_number 186
_symmetry_space_group_name_Hall 'P 6c -2c'
loop_
_atom_site_label
_atom_site_type_symbol
_atom_site_fract_x
_atom_site_fract_y
_atom_site_fract_z
K1 K 0.0000 0.0000 0.0328
K2 K 0.0343 0.5171 0.0000
K3 K 0.2122 0.4245 0.2831
K4 K 0.3333 0.6667 0.6527
Rb1 Rb 0.1594 0.3188 0.7818
Cd1 Cd 0.3333 0.6667 0.0457
# - E_tot (eV per cell) = -24.94
# - formation energy (meV per atom) = 11

No. 2
# K5Rb3Cd | the Alexandria database | PBE | relaxed
data_K5Rb3Cd
_cell_length_a 11.8620
_cell_length_b 11.8620
_cell_length_c 5.2161
_cell_angle_alpha 90.00
_cell_angle_beta 90.00
_cell_angle_gamma 120.00
_symmetry_space_group_name_H-M 'P -6 2 m'
_symmetry_Int_Tables_number 189
_symmetry_space_group_name_Hall 'P -6 -2'
loop_
_atom_site_label
_atom_site_type_symbol
_atom_site_fract_x
_atom_site_fract_y
_atom_site_fract_z
K1 K 0.0000 0.2339 0.0000
K2 K 0.3333 0.6667 0.0000
Rb1 Rb 0.0000 0.6313 0.5000
Cd1 Cd 0.0000 0.0000 0.5000
# - E_tot (eV per cell) = -9.21
# - formation energy (meV per atom) = 11

Look up the formation energy of the first one. 11 meV per atom

Look up the formation energy of the first one. 11 meV per atom